1.
# Ca2PmGa3 (GGA-PBE, optimized geometry)
# formation enthalpy at 0 K: -0.4813 eV per atom
# density: 4.86 g/cm³
data_Ca2PmGa3
_chemical_formula_sum 'Ca4 Pm2 Ga6'
_cell_length_a 8.2845
_cell_length_b 8.2845
_cell_length_c 7.2356
_cell_angle_alpha 90.00
_cell_angle_beta 90.00
_cell_angle_gamma 143.34
_space_group_name_H-M_alt 'P 1'
_space_group_IT_number 1
_space_group_name_Hall 'P 1'
loop_
_atom_site_label
_atom_site_type_symbol
_atom_site_fract_x
_atom_site_fract_y
_atom_site_fract_z
Ca1 Ca 0.0000 0.0000 0.0000
Ca2 Ca 0.0000 0.0000 0.5000
Ca3 Ca 0.3320 0.6680 0.0000
Ca4 Ca 0.6680 0.3320 0.0000
Pm1 Pm 0.3420 0.6580 0.5000
Pm2 Pm 0.6580 0.3420 0.5000
Ga1 Ga 0.1692 0.8308 0.2563
Ga2 Ga 0.1692 0.8308 0.7437
Ga3 Ga 0.5000 0.5000 0.2374
Ga4 Ga 0.5000 0.5000 0.7626
Ga5 Ga 0.8308 0.1692 0.2563
Ga6 Ga 0.8308 0.1692 0.7437


2.
# CaPmGa4 (GGA-PBE, optimized geometry)
# offset from the most stable computed form: 0.000 eV/atom
# formation enthalpy at 0 K: -0.5711 eV per atom
# density: 5.63 g/cm³
data_CaPmGa4
_chemical_formula_sum 'Ca2 Pm2 Ga8'
_cell_length_a 4.2890
_cell_length_b 7.4074
_cell_length_c 8.6092
_cell_angle_alpha 90.00
_cell_angle_beta 90.00
_cell_angle_gamma 90.00
_space_group_name_H-M_alt 'P 1'
_space_group_IT_number 1
_space_group_name_Hall 'P 1'
loop_
_atom_site_label
_atom_site_type_symbol
_atom_site_fract_x
_atom_site_fract_y
_atom_site_fract_z
Ca1 Ca 0.0000 0.0000 0.0000
Ca2 Ca 0.5000 0.5000 0.5000
Pm1 Pm 0.0000 0.0000 0.5000
Pm2 Pm 0.5000 0.5000 0.0000
Ga1 Ga 0.0000 0.3316 0.2381
Ga2 Ga 0.0000 0.3316 0.7619
Ga3 Ga 0.0000 0.6684 0.2381
Ga4 Ga 0.0000 0.6684 0.7619
Ga5 Ga 0.5000 0.1684 0.2619
Ga6 Ga 0.5000 0.1684 0.7381
Ga7 Ga 0.5000 0.8316 0.2619
Ga8 Ga 0.5000 0.8316 0.7381


3.
# CaPmGa3 (GGA-PBE, optimized geometry)
# offset from the most stable computed form: 0.000 eV/atom
# formation enthalpy at 0 K: -0.5987 eV per atom
# density: 5.49 g/cm³
data_CaPmGa3
_chemical_formula_sum 'Ca2 Pm2 Ga6'
_cell_length_a 13.3684
_cell_length_b 13.3684
_cell_length_c 4.2822
_cell_angle_alpha 90.00
_cell_angle_beta 90.00
_cell_angle_gamma 161.83
_space_group_name_H-M_alt 'P 1'
_space_group_IT_number 1
_space_group_name_Hall 'P 1'
loop_
_atom_site_label
_atom_site_type_symbol
_atom_site_fract_x
_atom_site_fract_y
_atom_site_fract_z
Ca1 Ca 0.2046 0.7954 0.7500
Ca2 Ca 0.7954 0.2046 0.2500
Pm1 Pm 0.0702 0.9298 0.2500
Pm2 Pm 0.9298 0.0702 0.7500
Ga1 Ga 0.3298 0.6702 0.7500
Ga2 Ga 0.3827 0.6173 0.2500
Ga3 Ga 0.4764 0.5236 0.2500
Ga4 Ga 0.5236 0.4764 0.7500
Ga5 Ga 0.6173 0.3827 0.7500
Ga6 Ga 0.6702 0.3298 0.2500


4.
# Ca2PmGa3 (GGA-PBE, optimized geometry)
# formation enthalpy at 0 K: -0.4806 eV per atom
# density: 4.87 g/cm³
data_Ca2PmGa3
_chemical_formula_sum 'Ca2 Pm1 Ga3'
_cell_length_a 3.6663
_cell_length_b 3.6663
_cell_length_c 11.0272
_cell_angle_alpha 90.00
_cell_angle_beta 90.00
_cell_angle_gamma 90.00
_space_group_name_H-M_alt 'P 1'
_space_group_IT_number 1
_space_group_name_Hall 'P 1'
loop_
_atom_site_label
_atom_site_type_symbol
_atom_site_fract_x
_atom_site_fract_y
_atom_site_fract_z
Ca1 Ca 0.0000 0.0000 0.1639
Ca2 Ca 0.0000 0.0000 0.8361
Pm1 Pm 0.0000 0.0000 0.5000
Ga1 Ga 0.5000 0.5000 0.0000
Ga2 Ga 0.5000 0.5000 0.3336
Ga3 Ga 0.5000 0.5000 0.6664


5.
# CaPm7Ga4 (GGA-PBE, optimized geometry)
# formation enthalpy at 0 K: -0.1975 eV per atom
# density: 6.51 g/cm³
data_CaPm7Ga4
_chemical_formula_sum 'Ca1 Pm7 Ga4'
_cell_length_a 7.4102
_cell_length_b 7.4102
_cell_length_c 10.7077
_cell_angle_alpha 121.54
_cell_angle_beta 121.54
_cell_angle_gamma 44.59
_space_group_name_H-M_alt 'P 1'
_space_group_IT_number 1
_space_group_name_Hall 'P 1'
loop_
_atom_site_label
_atom_site_type_symbol
_atom_site_fract_x
_atom_site_fract_y
_atom_site_fract_z
Ca1 Ca 0.0000 0.0000 0.0000
Pm1 Pm 0.0650 0.0650 0.3835
Pm2 Pm 0.2099 0.2099 0.8760
Pm3 Pm 0.3065 0.3065 0.3697
Pm4 Pm 0.5000 0.5000 0.0000
Pm5 Pm 0.6935 0.6935 0.6303
Pm6 Pm 0.7901 0.7901 0.1240
Pm7 Pm 0.9350 0.9350 0.6165
Ga1 Ga 0.3202 0.3202 0.6717
Ga2 Ga 0.4445 0.4445 0.2347
Ga3 Ga 0.5555 0.5555 0.7653
Ga4 Ga 0.6798 0.6798 0.3283


6.
# CaPm4Ga4 (GGA-PBE, optimized geometry)
# formation enthalpy at 0 K: -0.3513 eV per atom
# density: 5.65 g/cm³
data_CaPm4Ga4
_chemical_formula_sum 'Ca2 Pm8 Ga8'
_cell_length_a 9.2622
_cell_length_b 9.2622
_cell_length_c 6.1590
_cell_angle_alpha 90.00
_cell_angle_beta 90.00
_cell_angle_gamma 90.00
_space_group_name_H-M_alt 'P 1'
_space_group_IT_number 1
_space_group_name_Hall 'P 1'
loop_
_atom_site_label
_atom_site_type_symbol
_atom_site_fract_x
_atom_site_fract_y
_atom_site_fract_z
Ca1 Ca 0.2500 0.2500 0.2500
Ca2 Ca 0.7500 0.7500 0.7500
Pm1 Pm 0.0707 0.6574 0.1210
Pm2 Pm 0.1574 0.9293 0.6210
Pm3 Pm 0.3426 0.5707 0.6210
Pm4 Pm 0.4293 0.8426 0.1210
Pm5 Pm 0.5707 0.1574 0.8790
Pm6 Pm 0.6574 0.4293 0.3790
Pm7 Pm 0.8426 0.0707 0.3790
Pm8 Pm 0.9293 0.3426 0.8790
Ga1 Ga 0.0231 0.6134 0.6132
Ga2 Ga 0.1134 0.9769 0.1132
Ga3 Ga 0.3866 0.5231 0.1132
Ga4 Ga 0.4769 0.8866 0.6132
Ga5 Ga 0.5231 0.1134 0.3868
Ga6 Ga 0.6134 0.4769 0.8868
Ga7 Ga 0.8866 0.0231 0.8868
Ga8 Ga 0.9769 0.3866 0.3868


7.
# CaPm2Ga2 (GGA-PBE, optimized geometry)
# formation enthalpy at 0 K: -0.4633 eV per atom
# density: 5.64 g/cm³
data_CaPm2Ga2
_chemical_formula_sum 'Ca2 Pm4 Ga4'
_cell_length_a 7.9706
_cell_length_b 7.9706
_cell_length_c 4.3523
_cell_angle_alpha 90.00
_cell_angle_beta 90.00
_cell_angle_gamma 90.00
_space_group_name_H-M_alt 'P 1'
_space_group_IT_number 1
_space_group_name_Hall 'P 1'
loop_
_atom_site_label
_atom_site_type_symbol
_atom_site_fract_x
_atom_site_fract_y
_atom_site_fract_z
Ca1 Ca 0.0000 0.0000 0.0000
Ca2 Ca 0.5000 0.5000 0.0000
Pm1 Pm 0.1759 0.3241 0.5000
Pm2 Pm 0.3241 0.8241 0.5000
Pm3 Pm 0.6759 0.1759 0.5000
Pm4 Pm 0.8241 0.6759 0.5000
Ga1 Ga 0.1160 0.6160 0.0000
Ga2 Ga 0.3840 0.1160 0.0000
Ga3 Ga 0.6160 0.8840 0.0000
Ga4 Ga 0.8840 0.3840 0.0000


8.
# Ca2Pm3Ga2 (GGA-PBE, optimized geometry)
# formation enthalpy at 0 K: -0.2477 eV per atom
# density: 5.00 g/cm³
data_Ca2Pm3Ga2
_chemical_formula_sum 'Ca4 Pm6 Ga4'
_cell_length_a 12.0675
_cell_length_b 4.4116
_cell_length_c 8.7425
_cell_angle_alpha 90.00
_cell_angle_beta 110.83
_cell_angle_gamma 90.00
_space_group_name_H-M_alt 'P 1'
_space_group_IT_number 1
_space_group_name_Hall 'P 1'
loop_
_atom_site_label
_atom_site_type_symbol
_atom_site_fract_x
_atom_site_fract_y
_atom_site_fract_z
Ca1 Ca 0.1532 0.0000 0.3037
Ca2 Ca 0.3468 0.5000 0.6963
Ca3 Ca 0.6532 0.5000 0.3037
Ca4 Ca 0.8468 0.0000 0.6963
Pm1 Pm 0.0000 0.5000 0.5000
Pm2 Pm 0.1268 0.5000 0.9343
Pm3 Pm 0.3732 0.0000 0.0657
Pm4 Pm 0.5000 0.0000 0.5000
Pm5 Pm 0.6268 0.0000 0.9343
Pm6 Pm 0.8732 0.5000 0.0657
Ga1 Ga 0.1638 0.0000 0.7103
Ga2 Ga 0.3362 0.5000 0.2897
Ga3 Ga 0.6638 0.5000 0.7103
Ga4 Ga 0.8362 0.0000 0.2897


9.
# CaPmGa2 (GGA-PBE, optimized geometry)
# formation enthalpy at 0 K: -0.2813 eV per atom
# density: 4.90 g/cm³
data_CaPmGa2
_chemical_formula_sum 'Ca3 Pm3 Ga6'
_cell_length_a 3.7468
_cell_length_b 3.7468
_cell_length_c 27.1171
_cell_angle_alpha 90.00
_cell_angle_beta 90.00
_cell_angle_gamma 120.00
_space_group_name_H-M_alt 'P 1'
_space_group_IT_number 1
_space_group_name_Hall 'P 1'
loop_
_atom_site_label
_atom_site_type_symbol
_atom_site_fract_x
_atom_site_fract_y
_atom_site_fract_z
Ca1 Ca 0.0000 0.0000 0.0000
Ca2 Ca 0.3333 0.6667 0.6667
Ca3 Ca 0.6667 0.3333 0.3333
Pm1 Pm 0.0000 0.0000 0.5000
Pm2 Pm 0.3333 0.6667 0.1667
Pm3 Pm 0.6667 0.3333 0.8333
Ga1 Ga 0.0000 0.0000 0.2494
Ga2 Ga 0.0000 0.0000 0.7506
Ga3 Ga 0.3333 0.6667 0.4173
Ga4 Ga 0.3333 0.6667 0.9161
Ga5 Ga 0.6667 0.3333 0.0839
Ga6 Ga 0.6667 0.3333 0.5827


10.
# CaPmGa2 (GGA-PBE, optimized geometry)
# formation enthalpy at 0 K: -0.5271 eV per atom
# density: 5.15 g/cm³
data_CaPmGa2
_chemical_formula_sum 'Ca2 Pm2 Ga4'
_cell_length_a 4.2131
_cell_length_b 4.4169
_cell_length_c 11.2426
_cell_angle_alpha 90.00
_cell_angle_beta 90.00
_cell_angle_gamma 90.00
_space_group_name_H-M_alt 'P 1'
_space_group_IT_number 1
_space_group_name_Hall 'P 1'
loop_
_atom_site_label
_atom_site_type_symbol
_atom_site_fract_x
_atom_site_fract_y
_atom_site_fract_z
Ca1 Ca 0.0000 0.0000 0.0000
Ca2 Ca 0.0000 0.5000 0.5000
Pm1 Pm 0.5000 0.0000 0.2820
Pm2 Pm 0.5000 0.5000 0.7820
Ga1 Ga 0.0000 0.0000 0.7143
Ga2 Ga 0.0000 0.5000 0.2143
Ga3 Ga 0.5000 0.0000 0.5706
Ga4 Ga 0.5000 0.5000 0.0706